No. 1
Here is CuSbAsO6 after structural relaxation from Alexandria. Energies are from PBE.

Lattice parameters (Å, degrees): 5.067 5.067 9.025 90.00 90.00 120.00
Fractional positions:
Cu: 0.000 0.000 0.000
Cu: 0.000 0.000 0.500
Sb: 0.333 0.667 0.250
Sb: 0.667 0.333 0.750
As: 0.333 0.667 0.750
As: 0.667 0.333 0.250
O: 0.020 0.367 0.634
O: 0.020 0.653 0.866
O: 0.347 0.367 0.866
O: 0.347 0.980 0.634
O: 0.367 0.020 0.134
O: 0.367 0.347 0.366
O: 0.633 0.653 0.634
O: 0.633 0.980 0.866
O: 0.653 0.020 0.366
O: 0.653 0.633 0.134
O: 0.980 0.347 0.134
O: 0.980 0.633 0.366



No. 2
Here is ScCu2AsO6 after structural relaxation from Alexandria. Energies are from PBE.

Lattice parameters (Å, degrees): 6.538 6.538 5.373 95.03 95.03 86.66
Fractional positions:
Sc: 0.095 0.905 0.750
Sc: 0.905 0.095 0.250
Cu: 0.233 0.414 0.699
Cu: 0.414 0.233 0.199
Cu: 0.586 0.767 0.801
Cu: 0.767 0.586 0.301
As: 0.266 0.734 0.250
As: 0.734 0.266 0.750
O: 0.008 0.209 0.627
O: 0.150 0.644 0.938
O: 0.209 0.008 0.127
O: 0.277 0.472 0.360
O: 0.356 0.850 0.562
O: 0.472 0.277 0.860
O: 0.528 0.723 0.140
O: 0.644 0.150 0.438
O: 0.723 0.528 0.640
O: 0.791 0.992 0.873
O: 0.850 0.356 0.062
O: 0.992 0.791 0.373



No. 3
Here is CuAsSe2O after structural relaxation from Alexandria. Energies are from PBE.

Lattice parameters (Å, degrees): 4.616 4.616 4.806 90.00 90.00 90.00
Fractional positions:
Cu: 0.000 0.000 0.000
As: 0.000 0.000 0.500
Se: 0.000 0.500 0.000
Se: 0.500 0.000 0.000
O: 0.500 0.500 0.500

Output
Energy relative to the lowest polymorph listed for this composition, meV/atom: 439



No. 4
Here is CuAsSe2O after structural relaxation from Alexandria. Energies are from PBE.

Lattice parameters (Å, degrees): 4.525 4.525 4.274 90.00 90.00 90.00
Fractional positions:
Cu: 0.000 0.000 0.000
As: 0.500 0.500 0.000
Se: 0.000 0.500 0.500
Se: 0.500 0.000 0.500
O: 0.500 0.500 0.500

Output
Energy relative to the lowest polymorph listed for this composition, meV/atom: 0



No. 5
Here is CuSiAsO6 after structural relaxation from Alexandria. Energies are from PBE.

Lattice parameters (Å, degrees): 4.775 4.775 8.667 90.00 90.00 120.00
Fractional positions:
Cu: 0.000 0.000 0.000
Cu: 0.000 0.000 0.500
Si: 0.333 0.667 0.250
Si: 0.667 0.333 0.750
As: 0.333 0.667 0.750
As: 0.667 0.333 0.250
O: 0.009 0.366 0.136
O: 0.009 0.644 0.364
O: 0.356 0.366 0.364
O: 0.356 0.991 0.136
O: 0.366 0.009 0.636
O: 0.366 0.356 0.864
O: 0.634 0.644 0.136
O: 0.634 0.991 0.364
O: 0.644 0.009 0.864
O: 0.644 0.634 0.636
O: 0.991 0.356 0.636
O: 0.991 0.634 0.864



No. 6
Here is Sm2CuAs3O after structural relaxation from Alexandria. Energies are from PBE.

Lattice parameters (Å, degrees): 34.773 3.995 4.004 90.00 90.00 90.00
Fractional positions:
Sm: 0.033 0.250 0.249
Sm: 0.176 0.750 0.692
Sm: 0.324 0.250 0.192
Sm: 0.467 0.750 0.749
Sm: 0.533 0.250 0.251
Sm: 0.676 0.750 0.808
Sm: 0.824 0.250 0.308
Sm: 0.967 0.750 0.751
Cu: 0.250 0.250 0.690
Cu: 0.250 0.750 0.190
Cu: 0.750 0.250 0.810
Cu: 0.750 0.750 0.310
As: 0.106 0.250 0.750
As: 0.107 0.750 0.172
As: 0.206 0.250 0.191
As: 0.294 0.750 0.691
As: 0.393 0.250 0.672
As: 0.394 0.750 0.250
As: 0.606 0.250 0.750
As: 0.607 0.750 0.328
As: 0.706 0.250 0.309
As: 0.794 0.750 0.809
As: 0.893 0.250 0.828
As: 0.894 0.750 0.250
O: 0.000 0.250 0.749
O: 0.000 0.750 0.251
O: 0.500 0.250 0.751
O: 0.500 0.750 0.249



Number 1: calculated total energy -0.4235 Ry per atom, ρ 5.90 g cm⁻³. Number 2: calculated total energy -0.4621 Ry per atom, ρ 5.00 g cm⁻³. Number 3: calculated total energy -0.2282 Ry per atom, ρ 5.07 g cm⁻³. Number 4: calculated total energy -0.2605 Ry per atom, ρ 5.93 g cm⁻³. Number 5: calculated total energy -0.4570 Ry per atom, ρ 5.09 g cm⁻³. Number 6: calculated total energy -0.4477 Ry per atom, ρ 7.23 g cm⁻³.